[1]
# Eu2CdSi

A relaxed Eu2CdSi crystal (GGA-PBE, Alexandria via LeMat-Bulk).

Cell lengths 11.0991, 11.0991, 11.0991 Å; angles 19.48, 19.48, 19.48 degrees
With the nearest neighbours (Å) after each atom.
Element x y z (fractional)
1 Eu 0.1039 0.1039 0.1039  3 Si 2.98
2 Eu 0.8961 0.8961 0.8961  3 Si 2.98
3 Cd 0.0000 0.0000 0.0000  2 Eu 3.39, 6 Cd 3.75
4 Si 0.5000 0.5000 0.5000  6 Eu 2.98

Magnetization, μB/cell: 14.7
Energy, eV per cell: -26.82

[2]
# SmEuCdSi

A relaxed SmEuCdSi crystal (GGA-PBE, Alexandria via LeMat-Bulk).

Cell lengths 5.2696, 5.2696, 5.2696 Å; angles 60.00, 60.00, 60.00 degrees
With the nearest neighbours (Å) after each atom.
Element x y z (fractional)
1 Sm 0.0000 0.0000 0.0000  4 Cd 3.23, 4 Si 3.23
2 Eu 0.5000 0.5000 0.5000  4 Cd 3.23, 4 Si 3.23
3 Cd 0.7500 0.7500 0.7500  4 Sm 3.23, 4 Eu 3.23
4 Si 0.2500 0.2500 0.2500  4 Sm 3.23, 4 Eu 3.23

Magnetization, μB/cell: 7.5
Energy, eV per cell: -22.77

[3]
# SrEuCdSi

A relaxed SrEuCdSi crystal (GGA-PBE, Alexandria via LeMat-Bulk).

Cell lengths 5.4463, 5.4463, 5.4463 Å; angles 60.00, 60.00, 60.00 degrees
With the nearest neighbours (Å) after each atom.
Element x y z (fractional)
1 Sr 0.0000 0.0000 0.0000  4 Cd 3.34, 4 Si 3.34
2 Eu 0.5000 0.5000 0.5000  4 Cd 3.34, 4 Si 3.34
3 Cd 0.7500 0.7500 0.7500  4 Sr 3.34, 4 Eu 3.34
4 Si 0.2500 0.2500 0.2500  4 Sr 3.34, 4 Eu 3.34

Magnetization, μB/cell: 7.2
Energy, eV per cell: -19.66

[4]
# TbEuCdSi

A relaxed TbEuCdSi crystal (GGA-PBE, Alexandria via LeMat-Bulk).

Cell lengths 5.2230, 5.2230, 5.2230 Å; angles 60.00, 60.00, 60.00 degrees
With the nearest neighbours (Å) after each atom.
Element x y z (fractional)
1 Tb 0.0000 0.0000 0.0000  4 Cd 3.20, 4 Si 3.20
2 Eu 0.5000 0.5000 0.5000  4 Cd 3.20, 4 Si 3.20
3 Cd 0.2500 0.2500 0.2500  4 Tb 3.20, 4 Eu 3.20
4 Si 0.7500 0.7500 0.7500  4 Eu 3.20, 4 Tb 3.20

Magnetization, μB/cell: 7.4
Energy, eV per cell: -22.66

[5]
# SmEuCd

A relaxed SmEuCd crystal (GGA-PBE, Alexandria via LeMat-Bulk).

Cell lengths 5.4421, 5.4421, 3.6064 Å; angles 90.00, 90.00, 120.00 degrees
With the nearest neighbours (Å) after each atom.
Element x y z (fractional)
1 Sm 0.0000 0.0000 0.0000  3 Cd 3.29, 3 Eu 3.48, 2 Sm 3.61
2 Eu 0.6667 0.3333 0.5865  3 Cd 3.34, 3 Sm 3.48, 2 Eu 3.61
3 Cd 0.3333 0.6667 0.2713  3 Sm 3.29, 3 Eu 3.34, 2 Cd 3.61

Magnetization, μB/cell: 7.2
Calculated formation energy, eV/atom: -0.07
Excess energy over the best structure of this formula in the dataset, meV/atom: 105

[6]
# SmEuCd4

A relaxed SmEuCd4 crystal (GGA-PBE, Alexandria via LeMat-Bulk).

Cell lengths 6.0264, 6.0264, 6.0264 Å; angles 60.00, 60.00, 60.00 degrees
With the nearest neighbours (Å) after each atom.
Element x y z (fractional)
1 Sm 0.0000 0.0000 0.0000  12 Cd 3.53, 4 Eu 3.69
2 Eu 0.2500 0.2500 0.2500  12 Cd 3.53, 4 Sm 3.69
3 Cd 0.1236 0.6255 0.6255  6 Cd 3.00-3.02
4 Cd 0.6255 0.1236 0.6255  6 Cd 3.00-3.02
5 Cd 0.6255 0.6255 0.1236  6 Cd 3.00-3.02
6 Cd 0.6255 0.6255 0.6255  6 Cd 3.00-3.02

Magnetization, μB/cell: 7.1
Calculated formation energy, eV/atom: -0.29

[7]
# SmEu2Cd

A relaxed SmEu2Cd crystal (GGA-PBE, Alexandria via LeMat-Bulk).

Cell lengths 3.8213, 3.8213, 9.3322 Å; angles 90.00, 90.00, 90.00 degrees
With the nearest neighbours (Å) after each atom.
Element x y z (fractional)
1 Sm 0.0000 0.0000 0.0000  8 Eu 3.78, 4 Sm 3.82
2 Eu 0.5000 0.5000 0.2831  4 Cd 3.38, 4 Sm 3.78
3 Eu 0.5000 0.5000 0.7169  4 Cd 3.38, 4 Sm 3.78
4 Cd 0.0000 0.0000 0.5000  8 Eu 3.38

Magnetization, μB/cell: 15.2
Calculated formation energy, eV/atom: -0.10
Excess energy over the best structure of this formula in the dataset, meV/atom: 0

[8]
# SmEu2Cd

A relaxed SmEu2Cd crystal (GGA-PBE, Alexandria via LeMat-Bulk).

Cell lengths 12.9574, 12.9574, 12.9574 Å; angles 16.24, 16.24, 16.24 degrees
With the nearest neighbours (Å) after each atom.
Element x y z (fractional)
1 Sm 0.0000 0.0000 0.0000  6 Sm 3.66, 6 Eu 3.73
2 Eu 0.4134 0.4134 0.4134  1 Cd 3.32, 6 Eu 3.66
3 Eu 0.5866 0.5866 0.5866  1 Cd 3.32, 6 Eu 3.66
4 Cd 0.5000 0.5000 0.5000  2 Eu 3.32, 6 Cd 3.66

Magnetization, μB/cell: 15.5
Calculated formation energy, eV/atom: 0.17
Excess energy over the best structure of this formula in the dataset, meV/atom: 268

[9]
# SmEuCd

A relaxed SmEuCd crystal (GGA-PBE, Alexandria via LeMat-Bulk).

Cell lengths 7.1212, 7.1212, 7.1212 Å; angles 148.75, 148.75, 44.78 degrees
With the nearest neighbours (Å) after each atom.
Element x y z (fractional)
1 Sm 0.0000 0.0000 0.0000  4 Cd 3.25
2 Eu 0.7080 0.7080 0.0000  4 Cd 3.41
3 Cd 0.3643 0.3643 0.0000  4 Sm 3.25, 4 Eu 3.41

Magnetization, μB/cell: 7.5
Calculated formation energy, eV/atom: -0.17
Excess energy over the best structure of this formula in the dataset, meV/atom: 0

[10]
# SmEu2Cd

A relaxed SmEu2Cd crystal (GGA-PBE, Alexandria via LeMat-Bulk).

Cell lengths 5.0470, 5.0470, 5.1258 Å; angles 90.00, 90.00, 90.00 degrees
With the nearest neighbours (Å) after each atom.
Element x y z (fractional)
1 Sm 0.0000 0.0000 0.0000  4 Cd 3.57, 8 Eu 3.60
2 Eu 0.0000 0.5000 0.5000  4 Eu 3.57, 4 Cd 3.60, 4 Sm 3.60
3 Eu 0.5000 0.0000 0.5000  4 Eu 3.57, 4 Cd 3.60, 4 Sm 3.60
4 Cd 0.5000 0.5000 0.0000  4 Sm 3.57, 8 Eu 3.60

Magnetization, μB/cell: 15.2
Calculated formation energy, eV/atom: -0.05
Excess energy over the best structure of this formula in the dataset, meV/atom: 52

[11]
# SmEu2Cd

A relaxed SmEu2Cd crystal (GGA-PBE, Alexandria via LeMat-Bulk).

Cell lengths 5.7121, 5.7121, 5.7121 Å; angles 60.00, 60.00, 60.00 degrees
With the nearest neighbours (Å) after each atom.
Element x y z (fractional)
1 Sm 0.0000 0.0000 0.0000  8 Eu 3.50
2 Eu 0.2500 0.2500 0.2500  4 Cd 3.50, 4 Sm 3.50
3 Eu 0.7500 0.7500 0.7500  4 Cd 3.50, 4 Sm 3.50
4 Cd 0.5000 0.5000 0.5000  8 Eu 3.50

Magnetization, μB/cell: 14.9
Calculated formation energy, eV/atom: 0.02
Excess energy over the best structure of this formula in the dataset, meV/atom: 121

[12]
# SmEuCd2

A relaxed SmEuCd2 crystal (GGA-PBE, Alexandria via LeMat-Bulk).

Cell lengths 5.4589, 5.4589, 3.8784 Å; angles 90.00, 90.00, 90.00 degrees
With the nearest neighbours (Å) after each atom.
Element x y z (fractional)
1 Sm 0.0000 0.0000 0.0000  8 Cd 3.35
2 Eu 0.5000 0.5000 0.0000  8 Cd 3.35
3 Cd 0.0000 0.5000 0.5000  4 Sm 3.35, 4 Eu 3.35
4 Cd 0.5000 0.0000 0.5000  4 Sm 3.35, 4 Eu 3.35

Magnetization, μB/cell: 7.2
Calculated formation energy, eV/atom: -0.34

[13]
# SrSmEuCd

A relaxed SrSmEuCd crystal (GGA-PBE, Alexandria via LeMat-Bulk).

Cell lengths 5.7983, 5.7983, 5.7983 Å; angles 60.00, 60.00, 60.00 degrees
With the nearest neighbours (Å) after each atom.
Element x y z (fractional)
1 Sr 0.0000 0.0000 0.0000  4 Eu 3.55, 4 Cd 3.55
2 Sm 0.5000 0.5000 0.5000  4 Eu 3.55, 4 Cd 3.55
3 Eu 0.7500 0.7500 0.7500  4 Sm 3.55, 4 Sr 3.55
4 Cd 0.2500 0.2500 0.2500  4 Sm 3.55, 4 Sr 3.55

Magnetization, μB/cell: 7.7
Calculated formation energy, eV/atom: 0.02

[14]
# TbSmEuCd

A relaxed TbSmEuCd crystal (GGA-PBE, Alexandria via LeMat-Bulk).

Cell lengths 5.5562, 5.5562, 5.5562 Å; angles 60.00, 60.00, 60.00 degrees
With the nearest neighbours (Å) after each atom.
Element x y z (fractional)
1 Tb 0.0000 0.0000 0.0000  4 Cd 3.40, 4 Eu 3.40
2 Sm 0.5000 0.5000 0.5000  4 Eu 3.40, 4 Cd 3.40
3 Eu 0.7500 0.7500 0.7500  4 Tb 3.40, 4 Sm 3.40
4 Cd 0.2500 0.2500 0.2500  4 Sm 3.40, 4 Tb 3.40

Magnetization, μB/cell: 7.2
Calculated formation energy, eV/atom: -0.01

[15]
# SmEuYCd

A relaxed SmEuYCd crystal (GGA-PBE, Alexandria via LeMat-Bulk).

Cell lengths 5.5587, 5.5587, 5.5587 Å; angles 60.00, 60.00, 60.00 degrees
With the nearest neighbours (Å) after each atom.
Element x y z (fractional)
1 Sm 0.0000 0.0000 0.0000  4 Cd 3.40, 4 Eu 3.40
2 Eu 0.2500 0.2500 0.2500  4 Sm 3.40, 4 Y 3.40
3 Y 0.5000 0.5000 0.5000  4 Cd 3.40, 4 Eu 3.40
4 Cd 0.7500 0.7500 0.7500  4 Sm 3.40, 4 Y 3.40

Magnetization, μB/cell: 7.2
Calculated formation energy, eV/atom: -0.02

[16]
# EuCdSn

A relaxed EuCdSn crystal (GGA-PBE, Alexandria via LeMat-Bulk).

Cell lengths 6.7152, 6.7152, 6.7152 Å; angles 148.04, 148.04, 45.83 degrees
With the nearest neighbours (Å) after each atom.
Element x y z (fractional)
1 Eu 0.0000 0.0000 0.0000  4 Cd 3.39, 4 Sn 3.45, 4 Eu 3.70
2 Cd 0.6747 0.6747 0.0000  4 Sn 3.16, 4 Eu 3.39
3 Sn 0.3185 0.3185 0.0000  4 Cd 3.16, 4 Eu 3.45

Magnetization, μB/cell: 7.0
Calculated formation energy, eV/atom: -0.34

[17]
# EuCd2Sn

A relaxed EuCd2Sn crystal (GGA-PBE, Alexandria via LeMat-Bulk).

Cell lengths 4.6176, 4.6176, 4.9162 Å; angles 90.00, 90.00, 90.00 degrees
With the nearest neighbours (Å) after each atom.
Element x y z (fractional)
1 Eu 0.0000 0.0000 0.0000  4 Sn 3.27, 8 Cd 3.37
2 Cd 0.0000 0.5000 0.5000  4 Cd 3.27, 4 Sn 3.37, 4 Eu 3.37
3 Cd 0.5000 0.0000 0.5000  4 Cd 3.27, 4 Sn 3.37, 4 Eu 3.37
4 Sn 0.5000 0.5000 0.0000  4 Eu 3.27, 8 Cd 3.37

Magnetization, μB/cell: 7.1
Calculated formation energy, eV/atom: -0.35
Excess energy over the best structure of this formula in the dataset, meV/atom: 0

[18]
# EuCdSn

A relaxed EuCdSn crystal (GGA-PBE, Alexandria via LeMat-Bulk).

Cell lengths 4.9796, 4.9796, 7.8246 Å; angles 90.00, 90.00, 120.00 degrees
With the nearest neighbours (Å) after each atom.
Element x y z (fractional)
1 Eu 0.0000 0.0000 0.0000  3 Cd 3.29, 6 Sn 3.31-3.66
2 Eu 0.0000 0.0000 0.5000  3 Cd 3.29, 6 Sn 3.31-3.66
3 Cd 0.3333 0.6667 0.2960  4 Sn 2.95-3.25, 3 Eu 3.29
4 Cd 0.6667 0.3333 0.7960  4 Sn 2.95-3.25, 3 Eu 3.29
5 Sn 0.3333 0.6667 0.7108  4 Cd 2.95-3.25
6 Sn 0.6667 0.3333 0.2108  4 Cd 2.95-3.25

Magnetization, μB/cell: 14.1
Calculated formation energy, eV/atom: -0.56

[19]
# EuCdSn

A relaxed EuCdSn crystal (GGA-PBE, Alexandria via LeMat-Bulk).

Cell lengths 5.1164, 5.1164, 5.1164 Å; angles 60.00, 60.00, 60.00 degrees
With the nearest neighbours (Å) after each atom.
Element x y z (fractional)
1 Eu 0.0000 0.0000 0.0000  4 Sn 3.13
2 Cd 0.5000 0.5000 0.5000  4 Sn 3.13
3 Sn 0.7500 0.7500 0.7500  4 Cd 3.13, 4 Eu 3.13

Magnetization, μB/cell: 7.0
Calculated formation energy, eV/atom: -0.42

[20]
# EuCd2Sn

A relaxed EuCd2Sn crystal (GGA-PBE, Alexandria via LeMat-Bulk).

Cell lengths 5.3140, 5.3140, 5.3140 Å; angles 60.00, 60.00, 60.00 degrees
With the nearest neighbours (Å) after each atom.
Element x y z (fractional)
1 Eu 0.0000 0.0000 0.0000  8 Cd 3.25
2 Cd 0.2500 0.2500 0.2500  4 Sn 3.25, 4 Eu 3.25
3 Cd 0.7500 0.7500 0.7500  4 Sn 3.25, 4 Eu 3.25
4 Sn 0.5000 0.5000 0.5000  8 Cd 3.25

Magnetization, μB/cell: 7.1
Calculated formation energy, eV/atom: -0.29
Excess energy over the best structure of this formula in the dataset, meV/atom: 60